Compound: NaCo2O4
Source: Alexandria
Functional: PBE+U
Structure: relaxed

Computed properties:
E above lowest polymorph	0.0	meV per atom
size of the total moment	3.882	μB/cell
theoretical density	4.4	g/cm³
crystal system	orthorhombic

POSCAR file:
```
NaCo2O4
1.0
5.673 0.000 0.000
0.000 11.216 0.000
0.000 0.000 4.896
Na Co O
4 8 16
direct
0.250 0.250 0.020 Na
0.250 0.750 0.347 Na
0.750 0.250 0.653 Na
0.750 0.750 0.980 Na
0.000 0.000 0.500 Co
0.000 0.500 0.500 Co
0.250 0.503 0.999 Co
0.250 0.997 0.999 Co
0.500 0.000 0.500 Co
0.500 0.500 0.500 Co
0.750 0.003 0.001 Co
0.750 0.497 0.001 Co
0.001 0.089 0.830 O
0.001 0.411 0.830 O
0.250 0.085 0.332 O
0.250 0.415 0.332 O
0.250 0.588 0.661 O
0.250 0.912 0.661 O
0.499 0.089 0.830 O
0.499 0.411 0.830 O
0.501 0.589 0.170 O
0.501 0.911 0.170 O
0.750 0.088 0.339 O
0.750 0.412 0.339 O
0.750 0.585 0.668 O
0.750 0.915 0.668 O
0.999 0.589 0.170 O
0.999 0.911 0.170 O
```